Compound: MgTaAu
Source: the Alexandria database
Functional: PBE
Structure: relaxed

Unit cell a=4.4369 b=4.4369 c=4.4369 alpha=60.00 beta=60.00 gamma=60.00
Sites, in units of the cell vectors:
Mg 0.0000 0.0000 0.0000
Ta 0.5000 0.5000 0.5000
Au 0.7500 0.7500 0.7500

Values from the calculation:
SG: No. 216
ΔH_f (0 K), eV per formula unit: 0.56
Calculated volume, Å³/cell: 61.8